(1)
Here is an optimized crystal structure of LaNd5Y from Alexandria. Energies are from PBE.

Computed properties:
Total moment ... 0.00 μB/cell
Symmetry ... No. 15
E above lowest polymorph ... 0 meV per atom
Energy ... -4.8863 eV per atom
Energy of formation from the pure elements ... 0.147 eV per atom

Cell: 9.097 9.097 10.984 Å, 123.26 123.26 43.44°
Atoms (fractional coordinates):
La 0.000 0.500 0.000
La 0.500 0.000 0.500
Nd 0.009 0.991 0.250
Nd 0.083 0.582 0.414
Nd 0.159 0.657 0.904
Nd 0.343 0.841 0.596
Nd 0.418 0.917 0.086
Nd 0.582 0.083 0.914
Nd 0.657 0.159 0.404
Nd 0.841 0.343 0.096
Nd 0.917 0.418 0.586
Nd 0.991 0.009 0.750
Y 0.489 0.511 0.250
Y 0.511 0.489 0.750

---

(2)
Here is an optimized crystal structure of ZrSi2As from Alexandria. Energies are from PBE.

Computed properties:
ΔE_f (raw) ... -0.23 eV/atom
Total moment ... 0.00 μB/cell
Symmetry ... No. 10
E above lowest polymorph ... 117 meV per atom
Energy ... -6.2457 eV per atom

Cell: 3.568 3.610 5.380 Å, 90.00 91.55 90.00°
Atoms (fractional coordinates):
Zr 0.000 0.000 0.000
Si 0.494 0.500 0.738
Si 0.506 0.500 0.262
As 0.000 0.000 0.500

---

(3)
Here is an optimized crystal structure of KTlMo2 from Alexandria. Energies are from PBE.

Computed properties:
Total moment ... 0.00 μB/cell
Symmetry ... No. 123
E above lowest polymorph ... 483 meV per atom
Energy ... -5.2109 eV per atom
Energy of formation from the pure elements ... 1.071 eV per atom

Cell: 3.782 3.782 7.586 Å, 90.00 90.00 90.00°
Atoms (fractional coordinates):
K 0.000 0.000 0.000
Tl 0.000 0.000 0.500
Mo 0.500 0.500 0.356
Mo 0.500 0.500 0.644

---

(4)
Here is an optimized crystal structure of Mg2ZrBe from Alexandria. Energies are from PBE.

Computed properties:
Total moment ... 0.00 μB/cell
Symmetry ... No. 160
Energy ... -3.6026 eV per atom
Energy of formation from the pure elements ... 0.263 eV per atom

Cell: 9.854 9.854 9.854 Å, 17.80 17.80 17.80°
Atoms (fractional coordinates):
Mg 0.000 0.000 0.000
Mg 0.239 0.239 0.239
Zr 0.761 0.761 0.761
Be 0.502 0.502 0.502

---

(5)
Here is an optimized crystal structure of Ca2Tb2Cd15 from Alexandria. Energies are from PBE.

Computed properties:
Total moment ... 0.00 μB/cell
Symmetry ... No. 166
Energy ... -1.5587 eV per atom
Energy of formation from the pure elements ... -0.138 eV per atom

Cell: 8.005 8.005 8.005 Å, 77.56 77.56 77.56°
Atoms (fractional coordinates):
Ca 0.176 0.176 0.176
Ca 0.824 0.824 0.824
Tb 0.406 0.406 0.406
Tb 0.594 0.594 0.594
Cd 0.000 0.500 0.500
Cd 0.132 0.132 0.646
Cd 0.132 0.646 0.132
Cd 0.202 0.500 0.798
Cd 0.202 0.798 0.500
Cd 0.354 0.868 0.868
Cd 0.500 0.000 0.500
Cd 0.500 0.202 0.798
Cd 0.500 0.500 0.000
Cd 0.500 0.798 0.202
Cd 0.646 0.132 0.132
Cd 0.798 0.202 0.500
Cd 0.798 0.500 0.202
Cd 0.868 0.354 0.868
Cd 0.868 0.868 0.354

---

(6)
Here is an optimized crystal structure of HfPdPt4 from Alexandria. Energies are from PBE.

Computed properties:
Total moment ... 0.00 μB/cell
Symmetry ... No. 11
E above lowest polymorph ... 0 meV per atom
Energy ... -7.2760 eV per atom
Energy of formation from the pure elements ... -0.724 eV per atom

Cell: 4.912 5.676 6.937 Å, 90.00 90.38 90.00°
Atoms (fractional coordinates):
Hf 0.172 0.250 0.162
Hf 0.828 0.750 0.838
Pd 0.169 0.750 0.160
Pd 0.831 0.250 0.840
Pt 0.000 0.000 0.500
Pt 0.000 0.500 0.500
Pt 0.328 0.002 0.832
Pt 0.328 0.498 0.832
Pt 0.494 0.250 0.498
Pt 0.506 0.750 0.502
Pt 0.672 0.502 0.168
Pt 0.672 0.998 0.168